(1)
Sc3SbP, relaxed, DFT GGA-PBEsol; symmetry = No. 221; raw total energy = -6.8394 eV/atom; calculated volume = 22.37 Å³ per atom; raw formation energy = -0.807 eV/atom
1.0
4.8179 0.0000 0.0000
0.0000 4.8179 0.0000
0.0000 0.0000 4.8179
Sc Sb P
3 1 1
direct
0.0000 0.0000 0.5000
0.0000 0.5000 0.0000
0.5000 0.0000 0.0000
0.5000 0.5000 0.5000
0.0000 0.0000 0.0000



(2)
ScSbP2, relaxed, DFT GGA-PBEsol; symmetry = No. 12; raw total energy = -6.0860 eV/atom; calculated volume = 20.01 Å³ per atom; raw formation energy = -0.400 eV/atom
1.0
4.6603 -1.6320 0.0000
4.6603 1.6320 0.0000
-0.0593 0.0000 5.2608
Sc Sb P
1 1 2
direct
0.0000 0.0000 0.0000
0.5000 0.5000 0.5000
0.2767 0.2767 0.1440
0.7233 0.7233 0.8560